Here is a relaxed structure of CsTl2AuS from Alexandria. Energies are from PBE-GGA.

Cell: 4.931 14.293 9.594 Å, 90.00 90.00 90.00°
Space group Cmcm (No. 63)
One atom of each set of equivalent atoms:
Cs 0.000 0.053 0.250 [4 per cell]
Tl 0.000 0.319 0.067 [8 per cell]
Au 0.000 0.223 0.750 [4 per cell]
S 0.000 0.500 0.000 [4 per cell]

Values from the calculation:
The value obtained for the total magnetic moment is 0.00 μB per formula unit. Its formation energy (no corrections) is -190 kJ/mol of formula units. As for the density of states at the Fermi level: 0.9 states/eV/f.u. The calculation puts the total DFT energy (no corrections) at -2.99 eV per atom.

***

Here is a relaxed structure of ErThBi from Alexandria. Energies are from PBE-GGA.

Cell: 5.4518 5.4518 3.6575 Å, 90.00 90.00 120.00°
Space group P3m1 (No. 156)
One atom of each set of equivalent atoms:
Er 0.0000 0.0000 0.0000 [1 per cell]
Th 0.3333 0.6667 0.4869 [1 per cell]
Bi 0.6667 0.3333 0.8127 [1 per cell]

Values from the calculation:
The value obtained for the total magnetic moment is 0.00 μB per formula unit. As for the density of states at the Fermi level: 4.3 states/eV/f.u. The calculation puts the total DFT energy (no corrections) at -5.41 eV per atom.

***

Here is a relaxed structure of BaEuPH from Alexandria. Energies are from PBE-GGA.

Cell: 7.337 7.337 7.337 Å, 90.00 90.00 90.00°
Space group F-43m (No. 216)
One atom of each set of equivalent atoms:
Ba 0.000 0.000 0.000 [4 per cell]
Eu 0.000 0.000 0.500 [4 per cell]
P 0.250 0.250 0.750 [4 per cell]
H 0.250 0.250 0.250 [4 per cell]

Values from the calculation:
The value obtained for the total magnetic moment is 7.00 μB per formula unit. As for the density of states at the Fermi level: 12.4 states/eV/f.u. The calculation puts the total DFT energy (no corrections) at -5.93 eV per atom.

***

Here is a relaxed structure of Mn2ZnW2 from Alexandria. Energies are from PBE-GGA.

Cell: 7.047 7.047 2.868 Å, 90.00 90.00 90.00°
Space group P4/mbm (No. 127)
One atom of each set of equivalent atoms:
Mn 0.140 0.360 0.000 [4 per cell]
Zn 0.000 0.000 0.000 [2 per cell]
W 0.159 0.659 0.500 [4 per cell]

Values from the calculation:
The value obtained for the total magnetic moment is 0.02 μB per formula unit. As for the density of states at the Fermi level: 4.9 states/eV/f.u. The calculation puts the total DFT energy (no corrections) at -8.77 eV per atom.

***

Here is a relaxed structure of YInSn2 from Alexandria. Energies are from PBE-GGA.

Cell: 4.695 4.695 4.695 Å, 90.00 90.00 90.00°
Space group P4/mmm (No. 123)
One atom of each set of equivalent atoms:
Y 0.000 0.000 0.000 [1 per cell]
In 0.500 0.500 0.000 [1 per cell]
Sn 0.000 0.500 0.500 [2 per cell]

Values from the calculation:
The value obtained for the total magnetic moment is 0.00 μB per formula unit. As for the density of states at the Fermi level: 1.2 states/eV/f.u. The calculation puts the total DFT energy (no corrections) at -4.74 eV per atom.

***

> Among the records above, which one has the lowest total DFT energy (no corrections)?

Mn2ZnW2

***

> Among the records above, which one has the highest total magnetic moment?

BaEuPH

***

> The lowest total DFT energy (no corrections) belongs to which entry?

Mn2ZnW2